[1]
Entry from the Alexandria database: a relaxed structure of Sr2LaI7 (GGA-PBE).

Density of states at the Fermi level, states/eV per atom: 0.000
E_form (uncorrected), eV per atom: -1.578
Calculated volume, Å³/f.u.: 419
Symmetry: No. 14

Geometry as POSCAR:
```
Sr2LaI7
1.0
-13.044 -4.812 -8.502
3.527 -7.329 -1.263
-4.509 -5.827 10.215
Sr La I
8 4 28
direct
0.538 0.322 0.704
0.218 0.323 0.571
0.962 0.322 0.204
0.282 0.323 0.071
0.718 0.677 0.929
0.038 0.678 0.796
0.782 0.677 0.429
0.462 0.678 0.296
0.849 0.187 0.723
0.651 0.187 0.223
0.349 0.813 0.777
0.151 0.813 0.277
0.175 0.995 0.775
0.392 0.094 0.580
0.325 0.995 0.275
0.108 0.094 0.080
0.412 0.133 0.890
0.088 0.133 0.390
0.671 0.279 0.968
0.829 0.279 0.468
0.020 0.360 0.655
0.480 0.360 0.155
0.903 0.407 0.922
0.728 0.520 0.687
0.597 0.407 0.422
0.772 0.520 0.187
0.228 0.480 0.813
0.403 0.593 0.578
0.272 0.480 0.313
0.097 0.593 0.078
0.520 0.640 0.845
0.980 0.640 0.345
0.171 0.721 0.532
0.329 0.721 0.032
0.912 0.867 0.610
0.588 0.867 0.110
0.892 0.906 0.920
0.675 0.005 0.725
0.608 0.906 0.420
0.825 0.005 0.225
```

---

[2]
Entry from the Alexandria database: a relaxed structure of SmTiNi (GGA-PBE).

E_form, meV per atom: -286
Density of states at the Fermi level, states/eV per atom: 0.880
Calculated volume, Å³/f.u.: 60
Symmetry: No. 129

Geometry as POSCAR:
```
SmTiNi
1.0
4.357 0.000 0.000
0.000 4.357 0.000
0.000 0.000 6.338
Sm Ti Ni
2 2 2
direct
0.000 0.500 0.876
0.500 0.000 0.124
0.500 0.500 0.500
0.000 0.000 0.500
0.000 0.500 0.316
0.500 0.000 0.684
```

---

[3]
Entry from the Alexandria database: a relaxed structure of In (GGA-PBE).

E_form, meV per atom: 106
Density of states at the Fermi level, states/eV per atom: 0.616
Calculated volume, Å³/f.u.: 29
Symmetry: No. 221

Geometry as POSCAR:
```
In
1.0
-2.517 1.384 1.109
1.012 -0.461 2.871
1.457 2.711 -0.078
In
1
direct
0.500 0.500 0.500
```

---

[4]
Entry from the Alexandria database: a relaxed structure of HfIn2Au (GGA-PBE).

E_form, meV per atom: 199
Density of states at the Fermi level, states/eV per atom: 0.558
Calculated volume, Å³/f.u.: 94
Symmetry: No. 166

Geometry as POSCAR:
```
HfIn2Au
1.0
-0.695 1.673 2.663
-0.857 -1.543 2.693
9.548 -0.437 4.713
Hf Au In
1 1 2
direct
0.000 0.000 0.000
0.500 0.500 0.500
0.094 0.094 0.719
0.906 0.906 0.281
```

---

[5]
Entry from the Alexandria database: a relaxed structure of Li5Tl5Hg2 (GGA-PBE).

E_form, meV per atom: -176
Density of states at the Fermi level, states/eV per atom: 0.332
Calculated volume, Å³/f.u.: 274
Symmetry: No. 12

Geometry as POSCAR:
```
Li5Tl5Hg2
1.0
4.650 0.000 1.145
1.988 7.756 1.941
0.517 1.106 7.919
Li Tl Hg
5 5 2
direct
0.919 0.741 0.421
0.251 0.721 0.778
0.749 0.279 0.222
0.081 0.259 0.579
0.000 0.000 0.000
0.500 0.500 0.500
0.407 0.241 0.945
0.329 0.982 0.361
0.671 0.018 0.639
0.593 0.759 0.055
0.849 0.506 0.796
0.151 0.494 0.204
```

---

[6]
Entry from the Alexandria database: a relaxed structure of CoRe2Au (GGA-PBE).

E_form, meV per atom: 457
Density of states at the Fermi level, states/eV per atom: 0.834
Calculated volume, Å³/f.u.: 58
Symmetry: No. 65

Geometry as POSCAR:
```
CoRe2Au
1.0
5.955 0.000 0.002
-2.353 4.222 -0.008
1.248 0.700 2.320
Au Co Re
1 1 2
direct
0.000 0.500 0.500
0.500 0.500 0.000
0.000 0.000 0.000
0.500 0.000 0.500
```

---

[7]
Entry from the Alexandria database: a relaxed structure of In3HS3 (GGA-PBE).

Calculated total energy, eV for the cell shown: -50.84
Density of states at the Fermi level, states/eV per atom: 0.369
Calculated volume, Å³/f.u.: 162
Symmetry: No. 63

Geometry as POSCAR:
```
In3HS3
1.0
5.497 0.000 0.000
0.000 8.255 -0.006
0.000 -4.119 7.154
In H S
6 2 6
direct
0.750 0.633 0.816
0.750 0.183 0.367
0.750 0.184 0.817
0.250 0.367 0.184
0.250 0.817 0.633
0.250 0.816 0.183
0.750 0.333 0.667
0.250 0.667 0.333
0.250 0.635 0.817
0.250 0.182 0.365
0.250 0.182 0.818
0.750 0.365 0.183
0.750 0.818 0.635
0.750 0.818 0.182
```

---

[8]
Entry from the Alexandria database: a relaxed structure of Os5Pt3 (GGA-PBE).

E_form, meV per atom: 586
Density of states at the Fermi level, states/eV per atom: 1.005
Calculated volume, Å³/f.u.: 127
Symmetry: No. 193

Geometry as POSCAR:
```
Os5Pt3
1.0
-3.162 -3.866 6.112
5.791 -3.328 -4.206
3.186 1.923 2.864
Os Pt
10 6
direct
0.000 0.191 0.250
0.000 0.809 0.750
0.191 0.000 0.250
0.191 0.191 0.750
0.333 0.667 0.000
0.333 0.667 0.500
0.667 0.333 0.000
0.667 0.333 0.500
0.809 0.000 0.750
0.809 0.809 0.250
0.000 0.389 0.750
0.000 0.611 0.250
0.389 0.000 0.750
0.389 0.389 0.250
0.611 0.000 0.250
0.611 0.611 0.750
```

---

[9]
Entry from the Alexandria database: a relaxed structure of Ca4AcZn4 (GGA-PBE).

E_form, meV per atom: -79
Density of states at the Fermi level, states/eV per atom: 0.961
Calculated volume, Å³/f.u.: 287
Symmetry: No. 86

Geometry as POSCAR:
```
Ca4AcZn4
1.0
6.111 0.000 0.000
0.000 9.694 0.000
0.000 0.000 9.694
Ca Ac Zn
8 2 8
direct
0.385 0.332 0.904
0.885 0.596 0.832
0.385 0.668 0.096
0.115 0.168 0.596
0.615 0.904 0.668
0.115 0.832 0.404
0.885 0.404 0.168
0.615 0.096 0.332
0.000 0.000 0.000
0.500 0.500 0.500
0.625 0.781 0.350
0.625 0.219 0.650
0.125 0.850 0.719
0.875 0.281 0.850
0.875 0.719 0.150
0.375 0.350 0.219
0.375 0.650 0.781
0.125 0.150 0.281
```

---

[10]
Entry from the Alexandria database: a relaxed structure of La2Ga3Cu4Ag (GGA-PBE).

E_form, meV per atom: -355
Density of states at the Fermi level, states/eV per atom: 0.661
Calculated volume, Å³/f.u.: 191
Symmetry: No. 115

Geometry as POSCAR:
```
La2Ga3Cu4Ag
1.0
-3.903 0.758 -1.683
-0.200 -4.087 -1.377
-4.364 -2.774 8.870
La Ga Cu Ag
2 3 4 1
direct
0.500 0.000 0.239
0.000 0.500 0.761
0.000 0.000 0.500
0.500 0.000 0.878
0.000 0.500 0.122
0.500 0.500 0.000
0.000 0.000 0.000
0.500 0.000 0.640
0.000 0.500 0.360
0.500 0.500 0.500
```

---

[11]
Entry from the Alexandria database: a relaxed structure of Li2ZrTa (GGA-PBE).

E_form, meV per atom: 389
Density of states at the Fermi level, states/eV per atom: 0.800
Calculated volume, Å³/f.u.: 70
Symmetry: No. 44

Geometry as POSCAR:
```
Li2ZrTa
1.0
5.577 -0.003 0.006
2.447 5.011 -0.006
-3.196 -3.811 2.522
Li Ta Zr
2 1 1
direct
0.976 0.976 0.000
0.772 0.272 0.500
0.508 0.508 0.000
0.244 0.744 0.500
```

---

[12]
Entry from the Alexandria database: a relaxed structure of Nb3Ga (GGA-PBE).

E_form, meV per atom: -40
Density of states at the Fermi level, states/eV per atom: 0.876
Calculated volume, Å³/f.u.: 71
Symmetry: No. 44

Geometry as POSCAR:
```
Nb3Ga
1.0
2.803 0.000 0.000
0.000 5.274 0.000
-1.401 -2.637 4.807
Nb Ga
3 1
direct
0.254 0.571 0.508
0.500 0.517 0.000
0.746 0.063 0.492
0.000 0.016 0.000
```

---

[13]
Entry from the Alexandria database: a relaxed structure of CaSmTm2Au4 (GGA-PBE).

E_form, meV per atom: -828
Density of states at the Fermi level, states/eV per atom: 0.580
Calculated volume, Å³/f.u.: 187
Symmetry: No. 166

Geometry as POSCAR:
```
CaSmTm2Au4
1.0
5.084 0.000 0.000
2.542 4.403 0.000
2.542 1.468 8.341
Ca Sm Tm Au
1 1 2 4
direct
0.500 0.500 0.500
0.000 0.000 0.000
0.752 0.752 0.744
0.248 0.248 0.256
0.373 0.373 0.882
0.877 0.877 0.369
0.123 0.123 0.631
0.627 0.627 0.118
```

---

[14]
Entry from the Alexandria database: a relaxed structure of CsGeO (GGA-PBE).

Density of states at the Fermi level, states/eV per atom: 0.424
E_form (uncorrected), eV per atom: -0.923
Calculated volume, Å³/f.u.: 91
Symmetry: No. 99

Geometry as POSCAR:
```
CsGeO
1.0
3.840 0.000 0.000
0.000 3.839 0.000
0.000 0.000 6.144
Cs Ge O
1 1 1
direct
0.500 0.500 0.343
0.000 0.000 0.827
0.000 0.000 0.545
```

---

[15]
Entry from the Alexandria database: a relaxed structure of K3CeO4 (GGA-PBE).

Density of states at the Fermi level, states/eV per atom: 0.858
E_form (uncorrected), eV per atom: -2.009
Calculated volume, Å³/f.u.: 152
Symmetry: No. 13

Geometry as POSCAR:
```
K3CeO4
1.0
-4.146 0.269 -4.895
-3.136 -1.719 5.734
-1.275 7.258 1.478
K O Ce
6 8 2
direct
0.750 0.000 0.381
0.250 0.000 0.619
0.750 0.500 0.627
0.750 0.500 0.119
0.250 0.500 0.373
0.250 0.500 0.881
0.939 0.218 0.681
0.496 0.184 0.909
0.439 0.218 0.319
0.996 0.184 0.091
0.004 0.816 0.909
0.561 0.782 0.681
0.504 0.816 0.091
0.061 0.782 0.319
0.750 0.000 0.880
0.250 0.000 0.120
```

---

[16]
Entry from the Alexandria database: a relaxed structure of Nd2Dy3Te6 (GGA-PBE).

Density of states at the Fermi level, states/eV per atom: 0.470
E_form (uncorrected), eV per atom: -1.427
Calculated volume, Å³/f.u.: 359
Symmetry: No. 12

Geometry as POSCAR:
```
Nd2Dy3Te6
1.0
7.301 0.000 2.181
3.650 6.563 1.090
0.389 0.000 7.611
Nd Dy Te
2 3 6
direct
0.164 0.672 0.500
0.836 0.328 0.500
0.000 0.000 0.000
0.329 0.342 0.000
0.671 0.658 0.000
0.417 0.679 0.752
0.736 0.000 0.756
0.096 0.321 0.752
0.264 0.000 0.244
0.583 0.321 0.248
0.904 0.679 0.248
```

---

[17]
Entry from the Alexandria database: a relaxed structure of CeCoPt (GGA-PBE).

E_form, meV per atom: -650
Density of states at the Fermi level, states/eV per atom: 0.651
Calculated volume, Å³/f.u.: 55
Symmetry: No. 12

Geometry as POSCAR:
```
CeCoPt
1.0
-3.558 0.127 -1.753
-0.926 -5.934 -3.044
-1.638 -2.954 3.107
Co Pt Ce
2 2 2
direct
0.286 0.928 0.656
0.714 0.072 0.344
0.923 0.654 0.672
0.077 0.346 0.328
0.624 0.253 0.853
0.376 0.747 0.147
```

---

[18]
Entry from the Alexandria database: a relaxed structure of GaMo (GGA-PBE).

E_form, meV per atom: 469
Density of states at the Fermi level, states/eV per atom: 0.833
Calculated volume, Å³/f.u.: 34
Symmetry: No. 225

Geometry as POSCAR:
```
GaMo
1.0
5.127 0.000 0.000
0.000 5.127 0.000
0.000 0.000 5.127
Ga Mo
4 4
direct
0.000 0.000 0.000
0.000 0.500 0.500
0.500 0.000 0.500
0.500 0.500 0.000
0.500 0.500 0.500
0.500 0.000 0.000
0.000 0.500 0.000
0.000 0.000 0.500
```

---

[19]
Entry from the Alexandria database: a relaxed structure of Ho2TcH (GGA-PBE).

Calculated total energy, eV for the cell shown: -22.91
Density of states at the Fermi level, states/eV per atom: 0.512
Calculated volume, Å³/f.u.: 76
Symmetry: No. 123

Geometry as POSCAR:
```
Ho2TcH
1.0
-2.755 1.306 -1.287
-0.645 -2.865 -1.527
-3.595 -2.136 5.528
H Ho Tc
1 2 1
direct
0.500 0.500 0.500
0.000 0.000 0.759
0.000 0.000 0.241
0.500 0.500 0.000
```

---

[20]
Entry from the Alexandria database: a relaxed structure of CdAgHgAu (GGA-PBE).

E_form, meV per atom: -13
Density of states at the Fermi level, states/eV per atom: 0.462
Calculated volume, Å³/f.u.: 79
Symmetry: No. 216

Geometry as POSCAR:
```
CdAgHgAu
1.0
4.815 0.000 0.000
2.408 4.170 0.000
2.408 1.390 3.932
Au Hg Ag Cd
1 1 1 1
direct
0.000 0.000 0.000
0.250 0.250 0.250
0.500 0.500 0.500
0.750 0.750 0.750
```